(1)
First-principles (SCAN) data for a crystal of NaFe3Ge relaxed with PBEsol, as listed in Alexandria via LeMat-Bulk.

Results
DOS(E_F) in states/eV per atom: 0.442
Spin magnetization in Bohr magnetons per cell: 8.78
Formation enthalpy at 0 K in eV per atom: 1.750

a b c (Å): 4.319 4.319 4.319
angles (deg): 90.00 90.00 90.00
Each line ends with the local moment (μB).
Positions (direct):
Na 0.000 0.000 0.000  -0.04
Ge 0.500 0.500 0.500  -0.02
Fe 0.000 0.500 0.000  3.01
Fe 0.000 0.000 0.500  3.01
Fe 0.500 0.000 0.000  3.01

=====

(2)
First-principles (SCAN) data for a crystal of NaFe2Ge2 relaxed with PBEsol, as listed in Alexandria via LeMat-Bulk.

Results
DOS(E_F) in states/eV per atom: 0.402
Spin magnetization in Bohr magnetons per cell: 3.48
Formation enthalpy at 0 K in eV per atom: -0.037

a b c (Å): 3.731 3.731 6.089
angles (deg): 107.84 107.84 90.00
Each line ends with the local moment (μB).
Positions (direct):
Na 0.000 0.000 0.000  -0.01
Ge 0.383 0.383 0.765  -0.15
Ge 0.617 0.617 0.235  -0.15
Fe 0.250 0.750 0.500  2.01
Fe 0.750 0.250 0.500  2.01

=====

(3)
First-principles (SCAN) data for a crystal of NbFe6Ge6 relaxed with PBEsol, as listed in Alexandria via LeMat-Bulk.

Results
DOS(E_F) in states/eV per atom: 0.421
Spin magnetization in Bohr magnetons per cell: 13.68
Formation enthalpy at 0 K in eV per atom: -0.198

a b c (Å): 4.911 4.911 7.922
angles (deg): 90.00 90.00 120.00
Each line ends with the local moment (μB).
Positions (direct):
Nb 0.000 0.000 0.000  0.21
Fe 0.500 0.000 0.250  2.34
Fe 0.000 0.500 0.750  2.34
Fe 0.500 0.500 0.750  2.34
Fe 0.500 0.000 0.750  2.34
Fe 0.000 0.500 0.250  2.34
Fe 0.500 0.500 0.250  2.34
Ge 0.000 0.000 0.337  -0.09
Ge 0.333 0.667 0.500  -0.07
Ge 0.667 0.333 0.500  -0.07
Ge 0.333 0.667 0.000  -0.05
Ge 0.667 0.333 0.000  -0.05
Ge 0.000 0.000 0.663  -0.09

=====

(4)
First-principles (SCAN) data for a crystal of FeGeO2 relaxed with PBEsol, as listed in Alexandria via LeMat-Bulk.

Results
DOS(E_F) in states/eV per atom: 0.412
Spin magnetization in Bohr magnetons per cell: 2.68
Uncorrected formation energy in eV/atom: -0.79

a b c (Å): 3.081 3.081 6.198
angles (deg): 75.61 75.61 60.00
Each line ends with the local moment (μB).
Positions (direct):
Ge 0.500 0.500 0.500  -0.18
Fe 0.000 0.000 0.000  3.11
O 0.897 0.897 0.310  -0.07
O 0.103 0.103 0.690  -0.07

=====

(5)
First-principles (SCAN) data for a crystal of FeGeP2O relaxed with PBEsol, as listed in Alexandria via LeMat-Bulk.

Results
DOS(E_F) in states/eV per atom: 0.729
Spin magnetization in Bohr magnetons per cell: 3.29
Uncorrected formation energy in eV/atom: 0.52

a b c (Å): 3.477 4.765 4.765
angles (deg): 90.00 90.00 90.00
Each line ends with the local moment (μB).
Positions (direct):
P 0.000 0.000 0.500  -0.07
P 0.000 0.500 0.000  -0.07
Ge 0.000 0.000 0.000  0.00
Fe 0.500 0.500 0.500  3.43
O 0.500 0.000 0.000  0.01

=====

(6)
First-principles (SCAN) data for a crystal of ZnFeGe2O6 relaxed with PBEsol, as listed in Alexandria via LeMat-Bulk.

Results
DOS(E_F) in states/eV per atom: 0.078
Spin magnetization in Bohr magnetons per cell: 8.13
Uncorrected formation energy in eV/atom: -1.66

a b c (Å): 5.116 6.631 6.631
angles (deg): 84.73 82.57 82.57
Each line ends with the local moment (μB).
Positions (direct):
Zn 0.750 0.275 0.725  0.00
Zn 0.250 0.725 0.275  0.00
Fe 0.750 0.922 0.078  3.69
Fe 0.250 0.078 0.922  3.69
Ge 0.718 0.796 0.598  0.01
Ge 0.782 0.402 0.204  0.01
Ge 0.282 0.204 0.402  0.01
Ge 0.218 0.598 0.796  0.01
O 0.906 0.569 0.705  0.01
O 0.594 0.295 0.431  0.01
O 0.094 0.431 0.295  0.01
O 0.406 0.705 0.569  0.01
O 0.386 0.363 0.865  0.04
O 0.114 0.135 0.637  0.04
O 0.614 0.637 0.135  0.04
O 0.886 0.865 0.363  0.04
O 0.636 0.973 0.786  0.08
O 0.864 0.214 0.027  0.08
O 0.364 0.027 0.214  0.08
O 0.136 0.786 0.973  0.08